Below is a relaxed MnNiOsO6 crystal, with properties calculated at the PBE with a Hubbard U level.

Values from the calculation:
Crystal system: trigonal
Calculated total energy (Ha/atom): -0.2467

Unit cell a=5.038 b=5.038 c=8.841 alpha=90.00 beta=90.00 gamma=120.00
Each line ends with the local moment (μB).
Element x y z (fractional)
1 Mn 0.333 0.667 0.250  3.50
2 Mn 0.667 0.333 0.750  3.50
3 Ni 0.000 0.000 0.000  1.81
4 Ni 0.000 0.000 0.500  1.81
5 Os 0.667 0.333 0.250  1.22
6 Os 0.333 0.667 0.750  1.22
7 O 0.652 0.648 0.132  0.05
8 O 0.996 0.348 0.132  0.05
9 O 0.348 0.996 0.632  0.05
10 O 0.004 0.652 0.868  0.05
11 O 0.352 0.348 0.368  0.05
12 O 0.996 0.648 0.368  0.05
13 O 0.648 0.996 0.868  0.05
14 O 0.652 0.004 0.368  0.05
15 O 0.004 0.352 0.632  0.05
16 O 0.352 0.004 0.132  0.05
17 O 0.648 0.652 0.632  0.05
18 O 0.348 0.352 0.868  0.05